Ta3ZnFe3O12F2 after structural relaxation, computed with GGA+U.

Values from the calculation:
- total energy (eV/f.u.) = -162.0
- mass density (g/cm3) = 5.86
- crystal system = monoclinic
- M_tot (μB per cell) = 15.02

Cell lengths 3.161, 4.732, 19.045 Å; angles 89.10, 90.00, 90.00 degrees
Site moments in Bohr magnetons follow the coordinates.
Element x y z (fractional)
Fe 0.000 0.031 0.990  4.34
Ta 0.500 0.529 0.870  0.02
O 0.500 0.767 0.297  0.35
O 0.000 0.312 0.081  0.04
O 0.500 0.810 0.051  0.07
O 0.000 0.323 0.835  0.02
Zn 0.000 0.023 0.748  0.00
O 0.000 0.690 0.173  0.06
Ta 0.500 0.328 0.602  0.00
Fe 0.500 0.436 0.358  4.36
F 0.500 0.554 0.447  0.20
F 0.500 0.188 0.202  0.06
O 0.500 0.700 0.611  0.00
O 0.000 0.249 0.328  0.31
Fe 0.000 0.948 0.258  4.41
O 0.500 0.801 0.798  0.01
O 0.000 0.720 0.924  0.10
O 0.500 0.198 0.698  0.00
Ta 0.500 0.526 0.117  0.05
O 0.500 0.230 0.956  0.25
O 0.000 0.223 0.553  0.00